Computed, not measured: a relaxed structure of Al2TlSe2 at the PBE-GGA level of DFT.

Output
uncorrected energy = -17.71 eV for the cell shown
excess energy over the best structure of this formula in the dataset = 186 meV per atom

Cell lengths 4.9224, 4.9224, 6.4687 Å; angles 67.64, 67.64, 90.00 degrees
Closest atoms and distances in Å follow each position.
Atoms (fractional coordinates):
1 Se 0.3359 0.3359 0.3282  4 Al 2.63
2 Se 0.6641 0.6641 0.6718  4 Al 2.63
3 Al 0.2500 0.7500 0.5000  4 Se 2.63
4 Tl 0.0000 0.0000 0.0000  10 Se 3.66-3.91, 8 Al 3.67
5 Al 0.7500 0.2500 0.5000  4 Se 2.63

***

Computed, not measured: a relaxed structure of AlTlSe4 at the PBE-GGA level of DFT.

Output
uncorrected energy = -43.45 eV for the cell shown
excess energy over the best structure of this formula in the dataset = 0 meV per atom

Cell lengths 10.5303, 11.1370, 6.2190 Å; angles 109.10, 104.23, 132.15 degrees
Closest atoms and distances in Å follow each position.
Atoms (fractional coordinates):
1 Al 0.1630 0.9130 0.8259  4 Se 2.43-2.49
2 Tl 0.4282 0.6782 0.3564  4 Se 3.04-3.19
3 Se 0.4513 0.7011 0.8920  1 Al 2.49, 1 Se 2.57
4 Se 0.9407 0.1908 0.8920  1 Al 2.49, 1 Se 2.57
5 Se 0.7351 0.1404 0.4649  1 Al 2.43, 1 Se 2.57
6 Se 0.2298 0.3245 0.4649  1 Al 2.43, 1 Se 2.57
7 Se 0.5487 0.2989 0.1080  1 Al 2.49, 1 Se 2.57
8 Tl 0.5718 0.3218 0.6436  4 Se 3.04-3.19
9 Al 0.8370 0.0870 0.1741  4 Se 2.43-2.49
10 Se 0.0593 0.8092 0.1080  1 Al 2.49, 1 Se 2.57
11 Se 0.2649 0.8596 0.5351  1 Al 2.43, 1 Se 2.57
12 Se 0.7702 0.6755 0.5351  1 Al 2.43, 1 Se 2.57

***

Computed, not measured: a relaxed structure of AlTl2Se at the PBE-GGA level of DFT.

Output
uncorrected energy = -11.80 eV for the cell shown

Cell lengths 6.0334, 6.0334, 6.0334 Å; angles 135.47, 135.47, 64.80 degrees
Closest atoms and distances in Å follow each position.
Atoms (fractional coordinates):
1 Se 0.7500 0.2500 0.5000  8 Tl 3.23-3.42, 4 Al 3.42
2 Tl 0.2500 0.7500 0.5000  4 Se 3.23, 4 Tl 3.42, 4 Al 3.42
3 Tl 0.0000 0.0000 0.0000  4 Al 3.23, 4 Tl 3.42, 4 Se 3.42
4 Al 0.5000 0.5000 0.0000  8 Tl 3.23-3.42, 4 Se 3.42

***

Computed, not measured: a relaxed structure of AlTlSe2 at the PBE-GGA level of DFT.

Output
uncorrected energy = -13.03 eV for the cell shown

Cell lengths 3.5615, 5.0700, 5.0700 Å; angles 90.00, 90.00, 90.00 degrees
Closest atoms and distances in Å follow each position.
Atoms (fractional coordinates):
1 Se 0.0000 0.0000 0.0000  4 Tl 3.10, 4 Al 3.10
2 Tl 0.5000 0.5000 0.0000  8 Se 3.10
3 Al 0.5000 0.0000 0.5000  8 Se 3.10
4 Se 0.0000 0.5000 0.5000  4 Tl 3.10, 4 Al 3.10

***

Computed, not measured: a relaxed structure of AlTl2Se at the PBE-GGA level of DFT.

Output
uncorrected energy = -12.45 eV for the cell shown

Cell lengths 3.5344, 3.5344, 8.3076 Å; angles 90.00, 90.00, 90.00 degrees
Closest atoms and distances in Å follow each position.
Atoms (fractional coordinates):
1 Se 0.5000 0.5000 0.6817  4 Al 2.72
2 Tl 0.5000 0.5000 0.2881  1 Se 3.27, 4 Al 3.32, 8 Tl 3.53-3.59
3 Tl 0.0000 0.0000 0.9786  4 Se 3.51, 8 Tl 3.53-3.59, 1 Al 3.55
4 Al 0.0000 0.0000 0.5516  4 Se 2.72

***

Computed, not measured: a relaxed structure of AlTl3Se at the PBE-GGA level of DFT.

Output
uncorrected energy = -13.53 eV for the cell shown
excess energy over the best structure of this formula in the dataset = 0 meV per atom

Cell lengths 5.3894, 5.3894, 5.3894 Å; angles 90.00, 90.00, 90.00 degrees
Closest atoms and distances in Å follow each position.
Atoms (fractional coordinates):
1 Tl 0.5000 0.0000 0.0000  2 Al 2.69
2 Al 0.0000 0.0000 0.0000  6 Tl 2.69
3 Tl 0.0000 0.0000 0.5000  2 Al 2.69
4 Se 0.5000 0.5000 0.5000  12 Tl 3.81
5 Tl 0.0000 0.5000 0.0000  2 Al 2.69

***

Computed, not measured: a relaxed structure of AlTlSe2 at the PBE-GGA level of DFT.

Output
uncorrected energy = -129.06 eV for the cell shown

Cell lengths 7.7262, 7.7262, 15.9883 Å; angles 83.16, 96.84, 90.14 degrees
Closest atoms and distances in Å follow each position.
Atoms (fractional coordinates):
1 Tl 0.6568 0.1840 0.6172  7 Se 3.29-3.61
2 Tl 0.8465 0.7270 0.3942  7 Se 3.31-3.71
3 Se 0.7165 0.1424 0.9267  2 Al 2.43
4 Tl 0.8160 0.3432 0.1172  7 Se 3.29-3.61
5 Al 0.5807 0.2906 0.3369  4 Se 2.40-2.43
6 Tl 0.2730 0.1535 0.8942  7 Se 3.31-3.71
7 Tl 0.3432 0.8160 0.3828  7 Se 3.29-3.61
8 Se 0.9499 0.9499 0.7500  2 Al 2.42
9 Se 0.4315 0.9456 0.7491  2 Al 2.41-2.42
10 Se 0.2835 0.8576 0.0733  2 Al 2.43
11 Se 0.7474 0.6437 0.9304  2 Al 2.42
12 Se 0.8576 0.2835 0.4267  2 Al 2.43
13 Al 0.2889 0.0880 0.1647  4 Se 2.42-2.43
14 Se 0.6437 0.7474 0.5696  2 Al 2.42
15 Se 0.4325 0.4325 0.7500  2 Al 2.40
16 Tl 0.1840 0.6568 0.8828  7 Se 3.29-3.61
17 Tl 0.7270 0.8465 0.1058  7 Se 3.31-3.71
18 Al 0.2906 0.5807 0.1631  4 Se 2.40-2.43
19 Se 0.0501 0.0501 0.2500  2 Al 2.42
20 Se 0.5685 0.0544 0.2509  2 Al 2.41-2.42
21 Se 0.9456 0.4315 0.7509  2 Al 2.41-2.42
22 Al 0.0880 0.2889 0.3353  4 Se 2.42-2.43
23 Al 0.7094 0.4193 0.8369  4 Se 2.40-2.43
24 Al 0.9120 0.7111 0.6647  4 Se 2.42-2.43
25 Se 0.5675 0.5675 0.2500  2 Al 2.40
26 Al 0.7111 0.9120 0.8353  4 Se 2.42-2.43
27 Tl 0.1535 0.2730 0.6058  7 Se 3.31-3.71
28 Se 0.2526 0.3563 0.0696  2 Al 2.42
29 Al 0.4193 0.7094 0.6631  4 Se 2.40-2.43
30 Se 0.0544 0.5685 0.2491  2 Al 2.41-2.42
31 Se 0.1424 0.7165 0.5733  2 Al 2.43
32 Se 0.3563 0.2526 0.4304  2 Al 2.42

***

Computed, not measured: a relaxed structure of Al2Tl2Se at the PBE-GGA level of DFT.

Output
uncorrected energy = -28.62 eV for the cell shown
excess energy over the best structure of this formula in the dataset = 222 meV per atom

Cell lengths 8.4765, 8.4765, 3.4907 Å; angles 90.00, 90.00, 90.00 degrees
Closest atoms and distances in Å follow each position.
Atoms (fractional coordinates):
1 Al 0.1125 0.6125 0.5000  1 Al 2.70, 2 Tl 2.96
2 Se 0.5000 0.5000 0.0000  4 Tl 3.09
3 Al 0.3875 0.1125 0.5000  1 Al 2.70, 2 Tl 2.96
4 Tl 0.6882 0.1882 0.0000  6 Al 2.96-3.16, 2 Se 3.09
5 Al 0.8875 0.3875 0.5000  1 Al 2.70, 2 Tl 2.96
6 Tl 0.8118 0.6882 0.0000  6 Al 2.96-3.16, 2 Se 3.09
7 Tl 0.1882 0.3118 0.0000  6 Al 2.96-3.16, 2 Se 3.09
8 Tl 0.3118 0.8118 0.0000  6 Al 2.96-3.16, 2 Se 3.09
9 Se 0.0000 0.0000 0.0000  4 Tl 3.09
10 Al 0.6125 0.8875 0.5000  1 Al 2.70, 2 Tl 2.96

***

Computed, not measured: a relaxed structure of AlTlSe2 at the PBE-GGA level of DFT.

Output
uncorrected energy = -14.65 eV for the cell shown

Cell lengths 8.3287, 8.3287, 8.3287 Å; angles 155.75, 154.76, 35.28 degrees
Closest atoms and distances in Å follow each position.
Atoms (fractional coordinates):
1 Tl 0.4561 0.4561 0.0000  6 Se 3.20-3.52, 2 Tl 3.50
2 Se 0.0801 0.0801 0.0000  2 Al 2.55
3 Se 0.7665 0.2665 0.5000  4 Al 2.75
4 Al 0.1973 0.6973 0.5000  6 Se 2.55-2.75

***

Computed, not measured: a relaxed structure of AlTlSe at the PBE-GGA level of DFT.

Output
uncorrected energy = -9.53 eV for the cell shown
excess energy over the best structure of this formula in the dataset = 325 meV per atom

Cell lengths 4.9032, 4.9032, 4.9032 Å; angles 60.00, 60.00, 60.00 degrees
Closest atoms and distances in Å follow each position.
Atoms (fractional coordinates):
1 Al 0.2500 0.2500 0.2500  4 Se 3.00, 4 Tl 3.00
2 Se 0.0000 0.0000 0.0000  4 Al 3.00
3 Tl 0.5000 0.5000 0.5000  4 Al 3.00

***

Computed, not measured: a relaxed structure of AlTlSe3 at the PBE-GGA level of DFT.

Output
uncorrected energy = -38.06 eV for the cell shown
excess energy over the best structure of this formula in the dataset = 0 meV per atom

Cell lengths 5.4219, 6.6008, 9.5393 Å; angles 90.00, 106.51, 90.00 degrees
Closest atoms and distances in Å follow each position.
Atoms (fractional coordinates):
1 Se 0.0607 0.9085 0.1210  2 Al 2.36-2.39
2 Tl 0.6689 0.9415 0.3373  8 Se 3.36-3.65
3 Se 0.9393 0.4085 0.8790  2 Al 2.36-2.39
4 Se 0.5828 0.9269 0.6836  1 Al 2.43, 1 Se 2.61
5 Se 0.8990 0.4271 0.3164  1 Al 2.43, 1 Se 2.61
6 Se 0.1010 0.9271 0.6836  1 Al 2.43, 1 Se 2.61
7 Tl 0.3311 0.4415 0.6627  8 Se 3.36-3.65
8 Se 0.4172 0.4269 0.3164  1 Al 2.43, 1 Se 2.61
9 Al 0.0589 0.5461 0.1178  4 Se 2.36-2.43
10 Al 0.9411 0.0461 0.8822  4 Se 2.36-2.43

***

Computed, not measured: a relaxed structure of AlTlSe2 at the PBE-GGA level of DFT.

Output
uncorrected energy = -15.75 eV for the cell shown

Cell lengths 3.9398, 3.9159, 7.6762 Å; angles 75.27, 90.00, 90.00 degrees
Closest atoms and distances in Å follow each position.
Atoms (fractional coordinates):
1 Se 0.5000 0.2091 0.2084  2 Al 2.46
2 Tl 0.0000 0.5782 0.4659  6 Se 3.26-3.38
3 Al 0.5000 0.8091 0.0076  4 Se 2.42-2.46
4 Se 0.0000 0.9036 0.8180  2 Al 2.42